Material: Tl2TePd2O6
Method: DFT, PBE
State: optimized geometry

Structure (CIF):
```
data_Tl2TePd2O6
_space_group_name_H-M_alt 'P 1'
_space_group_IT_number 1
_cell_length_a 5.555
_cell_length_b 5.555
_cell_length_c 7.106
_cell_angle_alpha 103.17
_cell_angle_beta 103.17
_cell_angle_gamma 111.87
loop_
_space_group_symop_operation_xyz
'x,y,z'
loop_
_atom_site_label
_atom_site_fract_x
_atom_site_fract_y
_atom_site_fract_z
_atom_site_occupancy
O1 0.747 0.747 0.636 1
O2 0.981 0.666 0.315 1
O3 0.019 0.334 0.685 1
O4 0.334 0.019 0.685 1
O5 0.253 0.253 0.364 1
O6 0.666 0.981 0.315 1
Te1 0.000 0.000 0.500 1
Pd1 0.668 0.332 0.500 1
Pd2 0.332 0.668 0.500 1
Tl1 0.814 0.186 0.000 1
Tl2 0.186 0.814 0.000 1
```

Computed properties:
- Energy relative to the elements, uncorrected: -0.58 eV per atom
- Energy: -4.95 eV per atom
- Calculated density: 7.550 g/cm3
- Space-group type: C2/m (12)

Material: UTePdO
Method: DFT, PBE
State: optimized geometry

Structure (CIF):
```
data_UTePdO
_space_group_name_H-M_alt 'P 1'
_space_group_IT_number 1
_cell_length_a 4.020
_cell_length_b 4.020
_cell_length_c 9.249
_cell_angle_alpha 90.00
_cell_angle_beta 90.00
_cell_angle_gamma 90.00
loop_
_space_group_symop_operation_xyz
'x,y,z'
loop_
_atom_site_label
_atom_site_fract_x
_atom_site_fract_y
_atom_site_fract_z
_atom_site_occupancy
U1 0.000 0.500 0.368 1
U2 0.500 0.000 0.632 1
O1 0.000 0.000 0.500 1
O2 0.500 0.500 0.500 1
Te1 0.000 0.500 0.798 1
Te2 0.500 0.000 0.202 1
Pd1 0.500 0.500 0.000 1
Pd2 0.000 0.000 0.000 1
```

Computed properties:
- Energy relative to the elements, uncorrected: -1.53 eV per atom
- Energy: -7.68 eV per atom
- Calculated density: 10.846 g/cm3
- Space-group type: P4/nmm (129)

Material: ZnTePdO6
Method: DFT, PBE
State: optimized geometry

Structure (CIF):
```
data_ZnTePdO6
_space_group_name_H-M_alt 'P 1'
_space_group_IT_number 1
_cell_length_a 5.165
_cell_length_b 5.165
_cell_length_c 9.123
_cell_angle_alpha 90.00
_cell_angle_beta 90.00
_cell_angle_gamma 120.00
loop_
_space_group_symop_operation_xyz
'x,y,z'
loop_
_atom_site_label
_atom_site_fract_x
_atom_site_fract_y
_atom_site_fract_z
_atom_site_occupancy
Zn1 0.000 0.000 0.000 1
Zn2 0.000 0.000 0.500 1
O1 0.348 0.991 0.631 1
O2 0.356 0.009 0.131 1
O3 0.652 0.644 0.131 1
O4 0.356 0.348 0.369 1
O5 0.991 0.348 0.131 1
O6 0.644 0.991 0.869 1
O7 0.652 0.009 0.369 1
O8 0.348 0.356 0.869 1
O9 0.644 0.652 0.631 1
O10 0.991 0.644 0.369 1
O11 0.009 0.652 0.869 1
O12 0.009 0.356 0.631 1
Pd1 0.667 0.333 0.750 1
Pd2 0.333 0.667 0.250 1
Te1 0.333 0.667 0.750 1
Te2 0.667 0.333 0.250 1
```

Computed properties:
- Energy relative to the elements, uncorrected: -0.84 eV per atom
- Energy: -5.21 eV per atom
- Calculated density: 6.230 g/cm3
- Space-group type: P-31c (163)

Material: Th2Pd2O7
Method: DFT, PBE
State: optimized geometry

Structure (CIF):
```
data_Th2Pd2O7
_space_group_name_H-M_alt 'P 1'
_space_group_IT_number 1
_cell_length_a 7.545
_cell_length_b 7.545
_cell_length_c 7.545
_cell_angle_alpha 60.00
_cell_angle_beta 60.00
_cell_angle_gamma 60.00
loop_
_space_group_symop_operation_xyz
'x,y,z'
loop_
_atom_site_label
_atom_site_fract_x
_atom_site_fract_y
_atom_site_fract_z
_atom_site_occupancy
O1 0.226 0.226 0.774 1
O2 0.774 0.226 0.774 1
O3 0.226 0.774 0.774 1
O4 0.476 0.024 0.476 1
O5 0.476 0.024 0.024 1
O6 0.024 0.024 0.476 1
O7 0.750 0.750 0.750 1
O8 0.024 0.476 0.476 1
O9 0.226 0.774 0.226 1
O10 0.476 0.476 0.024 1
O11 0.500 0.500 0.500 1
O12 0.024 0.476 0.024 1
O13 0.774 0.226 0.226 1
O14 0.774 0.774 0.226 1
Th1 0.625 0.125 0.625 1
Th2 0.125 0.625 0.625 1
Th3 0.625 0.625 0.125 1
Th4 0.625 0.625 0.625 1
Pd1 0.125 0.625 0.125 1
Pd2 0.125 0.125 0.125 1
Pd3 0.125 0.125 0.625 1
Pd4 0.625 0.125 0.125 1
```

Computed properties:
- Energy relative to the elements, uncorrected: -2.08 eV per atom
- Energy: -7.53 eV per atom
- Calculated density: 8.628 g/cm3
- Space-group type: Fd-3m (227)